The following is a DFT calculation (GGA-PBE) of Nd2Ho2Tm5 after structural relaxation.

abc: 11.6687 6.7078 10.0269
angles: 109.54 125.58 90.00
Fractional coordinates of all 18 atoms:
Ho: 0.2642 0.3615 0.5000
Ho: 0.0000 0.0035 0.0000
Ho: 0.5000 0.5035 0.0000
Ho: 0.7358 0.8615 0.5000
Tm: 0.9980 0.6601 0.5000
Tm: 0.4059 0.5311 0.2852
Tm: 0.3793 0.0311 0.2852
Tm: 0.7938 0.7624 0.1071
Tm: 0.1867 0.1553 0.8929
Tm: 0.8133 0.2624 0.1071
Tm: 0.0020 0.1601 0.5000
Tm: 0.5941 0.2459 0.7148
Tm: 0.2062 0.6553 0.8929
Tm: 0.6207 0.7459 0.7148
Nd: 0.6341 0.1856 0.2549
Nd: 0.3659 0.9307 0.7451
Nd: 0.8792 0.4307 0.7451
Nd: 0.1208 0.6856 0.2549

***

The following is a DFT calculation (GGA-PBE) of Nd8Ho4Tm3 after structural relaxation.

abc: 6.8761 9.1713 9.1713
angles: 83.17 110.47 110.47
Fractional coordinates of all 15 atoms:
Nd: 0.2895 0.2439 0.2439
Nd: 0.0000 0.2952 0.7048
Nd: 0.8259 0.2966 0.2966
Nd: 0.5000 0.7535 0.2465
Nd: 0.1741 0.7034 0.7034
Nd: 0.7105 0.7561 0.7561
Nd: 0.0000 0.7048 0.2952
Nd: 0.5000 0.2465 0.7535
Ho: 0.0000 0.0000 0.0000
Ho: 0.5000 0.0000 0.0000
Ho: 0.0000 0.5000 0.0000
Ho: 0.0000 0.0000 0.5000
Tm: 0.5000 0.5000 0.5000
Tm: 0.5000 0.5000 0.0000
Tm: 0.5000 0.0000 0.5000

***

The following is a DFT calculation (GGA-PBE) of Nd2Ho4Tm5 after structural relaxation.

abc: 3.5349 9.3535 11.7212
angles: 106.45 81.34 112.24
Fractional coordinates of all 11 atoms:
Tm: 0.5905 0.8191 0.4568
Tm: 0.0443 0.9077 0.7264
Tm: 0.5000 0.0000 0.0000
Tm: 0.4095 0.1809 0.5432
Tm: 0.9557 0.0923 0.2736
Ho: 0.3139 0.3602 0.0931
Ho: 0.7714 0.4535 0.3645
Ho: 0.2286 0.5465 0.6355
Ho: 0.6861 0.6398 0.9069
Nd: 0.1372 0.7290 0.1831
Nd: 0.8628 0.2710 0.8169

***

The following is a DFT calculation (GGA-PBE) of Nd2Ho7Tm2 after structural relaxation.

abc: 3.5766 10.4968 10.4968
angles: 66.68 99.91 99.91
Fractional coordinates of all 11 atoms:
Tm: 0.2993 0.7998 0.7998
Tm: 0.7007 0.2002 0.2002
Nd: 0.5000 0.2685 0.7315
Nd: 0.5000 0.7315 0.2685
Ho: 0.3806 0.3773 0.3773
Ho: 0.6194 0.6227 0.6227
Ho: 0.0000 0.0000 0.0000
Ho: 0.8322 0.5807 0.0825
Ho: 0.1678 0.9175 0.4193
Ho: 0.8322 0.0825 0.5807
Ho: 0.1678 0.4193 0.9175

***

The following is a DFT calculation (GGA-PBE) of Nd3Ho2Tm after structural relaxation.

abc: 3.4891 5.9344 10.3734
angles: 106.62 99.68 90.00
Fractional coordinates of all 6 atoms:
Ho: 0.3632 0.3632 0.7264
Ho: 0.6368 0.6368 0.2736
Nd: 0.0000 0.5000 0.0000
Nd: 0.8112 0.8112 0.6225
Nd: 0.1888 0.1888 0.3775
Tm: 0.0000 0.0000 0.0000

***

The following is a DFT calculation (GGA-PBE) of Nd3Ho2Tm2 after structural relaxation.

abc: 3.5856 11.8436 6.2060
angles: 69.70 73.15 98.65
Fractional coordinates of all 7 atoms:
Tm: 0.7105 0.2836 0.8629
Tm: 0.2895 0.7164 0.1371
Nd: 0.5710 0.4281 0.2880
Nd: 0.4290 0.5719 0.7120
Nd: 0.0000 0.0000 0.0000
Ho: 0.8560 0.1411 0.4291
Ho: 0.1440 0.8589 0.5709

***

The following is a DFT calculation (GGA-PBE) of NdHo5Tm4 after structural relaxation.

abc: 3.5328 9.9385 10.5788
angles: 103.60 120.06 90.07
Fractional coordinates of all 10 atoms:
Ho: 0.9013 0.4007 0.6010
Ho: 0.0987 0.5993 0.3990
Ho: 0.5000 0.5000 0.0000
Ho: 0.1012 0.1008 0.4007
Ho: 0.8988 0.8992 0.5993
Tm: 0.3020 0.3023 0.2011
Tm: 0.3031 0.7984 0.2020
Tm: 0.6969 0.2016 0.7980
Tm: 0.6980 0.6977 0.7989
Nd: 0.5000 0.0000 0.0000

***

The following is a DFT calculation (GGA-PBE) of NdHo3Tm7 after structural relaxation.

abc: 8.5267 6.9749 6.9749
angles: 120.00 90.00 90.00
Fractional coordinates of all 11 atoms:
Ho: 0.7850 0.5006 0.0013
Ho: 0.7850 0.9987 0.4994
Ho: 0.7850 0.5006 0.4994
Nd: 0.4477 0.3333 0.6667
Tm: 0.4471 0.3357 0.1678
Tm: 0.1185 0.6667 0.3333
Tm: 0.1175 0.1675 0.3350
Tm: 0.1175 0.1675 0.8325
Tm: 0.1175 0.6650 0.8325
Tm: 0.4471 0.8322 0.1678
Tm: 0.4471 0.8322 0.6643

***

Number 1: energy relative to the elements 0.2168 eV per atom, E above lowest polymorph 0 meV per atom. Number 2: energy relative to the elements 0.3400 eV per atom, E above lowest polymorph 181 meV per atom. Number 3: energy relative to the elements 0.0238 eV per atom, E above lowest polymorph 0 meV per atom. Number 4: energy relative to the elements 0.1323 eV per atom, E above lowest polymorph 0 meV per atom. Number 5: energy relative to the elements 0.3616 eV per atom, E above lowest polymorph 251 meV per atom. Number 6: energy relative to the elements 0.0195 eV per atom, E above lowest polymorph 0 meV per atom. Number 7: energy relative to the elements 0.0231 eV per atom, E above lowest polymorph 0 meV per atom. Number 8: energy relative to the elements 0.2006 eV per atom, E above lowest polymorph 41 meV per atom.